The following is a DFT calculation (PBE-GGA) of crystalline Li2TaAs at its relaxed geometry.

Structure (POSCAR):
```
Li2TaAs
1.0
-8.376 4.293 1.894
-9.369 1.531 1.431
-8.360 2.317 4.112
Li As Ta
2 1 1
direct
0.007 0.007 0.007 Li
0.249 0.249 0.249 Li
0.751 0.751 0.751 As
0.493 0.493 0.493 Ta
```

Summary:
symmetry	R3m, No. 160
energy relative to the elements	0.0	eV per formula unit
volume	72.19	Å³ per cell
size of the total moment	0.00	μB/f.u.

The following is a DFT calculation (PBE-GGA) of crystalline Ac5La12Pr2 at its relaxed geometry.

Structure (POSCAR):
```
Ac5La12Pr2
1.0
7.082 0.000 -2.277
-0.969 8.599 -3.014
0.072 -0.220 12.378
Ac La Pr
5 12 2
direct
0.755 0.519 0.510 Ac
0.000 0.500 0.000 Ac
0.654 0.092 0.307 Ac
0.245 0.481 0.490 Ac
0.346 0.908 0.693 Ac
0.055 0.210 0.602 La
0.139 0.043 0.277 La
0.632 0.622 0.788 La
0.844 0.378 0.212 La
0.156 0.622 0.788 La
0.548 0.689 0.096 La
0.452 0.311 0.904 La
0.945 0.790 0.398 La
0.453 0.790 0.398 La
0.861 0.957 0.723 La
0.368 0.378 0.212 La
0.547 0.210 0.602 La
0.743 0.000 0.000 Pr
0.257 0.000 0.000 Pr
```

Summary:
symmetry	C2/m, No. 12
energy relative to the elements	2.2	eV per formula unit
volume	750.05	Å³ per cell
size of the total moment	0.00	μB/f.u.